(1)
# SiPRu2 | Alexandria via LeMat-Bulk | PBE | relaxed
# **Uncorrected energy**: -112.9 eV/cell
# **Size of the total moment**: 0.000 μB per formula unit
# **E_form (uncorrected)**: 289.1 meV per atom
data_SiPRu2
_cell_length_a 6.051
_cell_length_b 6.051
_cell_length_c 6.051
_cell_angle_alpha 90.00
_cell_angle_beta 90.00
_cell_angle_gamma 90.00
_symmetry_space_group_name_H-M 'P 1'
_symmetry_Int_Tables_number 1
_symmetry_space_group_name_Hall 'P 1'
loop_
_atom_site_label
_atom_site_type_symbol
_atom_site_fract_x
_atom_site_fract_y
_atom_site_fract_z
Si1 Si 0.000 0.000 0.000
Si2 Si 0.000 0.500 0.500
Si3 Si 0.500 0.000 0.500
Si4 Si 0.500 0.500 0.000
P1 P 0.250 0.250 0.750
P2 P 0.250 0.750 0.250
P3 P 0.750 0.250 0.250
P4 P 0.750 0.750 0.750
Ru1 Ru 0.000 0.000 0.500
Ru2 Ru 0.000 0.500 0.000
Ru3 Ru 0.250 0.250 0.250
Ru4 Ru 0.250 0.750 0.750
Ru5 Ru 0.500 0.000 0.000
Ru6 Ru 0.500 0.500 0.500
Ru7 Ru 0.750 0.250 0.750
Ru8 Ru 0.750 0.750 0.250

(2)
# GdUGa4 | Alexandria via LeMat-Bulk | PBE | relaxed
# **Uncorrected energy**: -39.2 eV/cell
# **Energy relative to the elements**: -0.28 eV per atom
# **Size of the total moment**: 4.202 μB per formula unit
data_GdUGa4
_cell_length_a 5.521
_cell_length_b 5.521
_cell_length_c 5.521
_cell_angle_alpha 60.00
_cell_angle_beta 60.00
_cell_angle_gamma 60.00
_symmetry_space_group_name_H-M 'P 1'
_symmetry_Int_Tables_number 1
_symmetry_space_group_name_Hall 'P 1'
loop_
_atom_site_label
_atom_site_type_symbol
_atom_site_fract_x
_atom_site_fract_y
_atom_site_fract_z
Gd1 Gd 0.000 0.000 0.000
U1 U 0.750 0.750 0.750
Ga1 Ga 0.376 0.376 0.376
Ga2 Ga 0.376 0.376 0.873
Ga3 Ga 0.376 0.873 0.376
Ga4 Ga 0.873 0.376 0.376

(3)
# CaMgGa2Fe | Alexandria via LeMat-Bulk | PBE | relaxed
# **Uncorrected energy**: -19.0 eV/cell
# **Energy relative to the elements**: -0.17 eV per atom
# **Size of the total moment**: 0.001 μB per formula unit
data_CaMgGa2Fe
_cell_length_a 4.624
_cell_length_b 4.624
_cell_length_c 4.773
_cell_angle_alpha 90.00
_cell_angle_beta 90.00
_cell_angle_gamma 90.00
_symmetry_space_group_name_H-M 'P 1'
_symmetry_Int_Tables_number 1
_symmetry_space_group_name_Hall 'P 1'
loop_
_atom_site_label
_atom_site_type_symbol
_atom_site_fract_x
_atom_site_fract_y
_atom_site_fract_z
Ca1 Ca 0.000 0.000 0.000
Mg1 Mg 0.500 0.500 0.000
Ga1 Ga 0.000 0.500 0.500
Ga2 Ga 0.500 0.000 0.500
Fe1 Fe 0.500 0.500 0.500

(4)
# Dy5TmSc5 | Alexandria via LeMat-Bulk | PBE | relaxed
# **Uncorrected energy**: -56.5 eV/cell
# **Energy relative to the elements**: 0.24 eV per atom
# **Size of the total moment**: 2.331 μB per formula unit
data_Dy5TmSc5
_cell_length_a 5.771
_cell_length_b 5.771
_cell_length_c 11.258
_cell_angle_alpha 90.00
_cell_angle_beta 90.00
_cell_angle_gamma 120.00
_symmetry_space_group_name_H-M 'P 1'
_symmetry_Int_Tables_number 1
_symmetry_space_group_name_Hall 'P 1'
loop_
_atom_site_label
_atom_site_type_symbol
_atom_site_fract_x
_atom_site_fract_y
_atom_site_fract_z
Dy1 Dy 0.000 0.000 0.000
Dy2 Dy 0.333 0.667 0.318
Dy3 Dy 0.333 0.667 0.682
Dy4 Dy 0.667 0.333 0.159
Dy5 Dy 0.667 0.333 0.841
Tm1 Tm 0.333 0.667 0.000
Sc1 Sc 0.000 0.000 0.269
Sc2 Sc 0.000 0.000 0.731
Sc3 Sc 0.329 0.165 0.500
Sc4 Sc 0.835 0.165 0.500
Sc5 Sc 0.835 0.671 0.500

Which of these has the highest uncorrected energy?
CaMgGa2Fe

Which formula does entry 1 have?
SiPRu2

The highest uncorrected energy belongs to which entry?
CaMgGa2Fe